# CaEu4Y (PBE, optimized geometry)
# spin magnetization: 30.74 μB per formula unit
# final energy: -193.4 eV for the cell shown
# crystal system: cubic
# DOS at the Fermi energy: 8.48 states/eV/f.u.
data_CaEu4Y
_cell_length_a 9.937
_cell_length_b 9.937
_cell_length_c 9.937
_cell_angle_alpha 90.00
_cell_angle_beta 90.00
_cell_angle_gamma 90.00
_symmetry_space_group_name_H-M 'F -4 3 m'
_symmetry_Int_Tables_number 216
_symmetry_space_group_name_Hall 'F -4 2 3'
loop_
_atom_site_label
_atom_site_type_symbol
_atom_site_fract_x
_atom_site_fract_y
_atom_site_fract_z
Ca1 Ca 0.000 0.000 0.000
Eu1 Eu 0.124 0.124 0.624
Y1 Y 0.250 0.250 0.250

---

# ScIrRu2 (PBE, optimized geometry)
# spin magnetization: 0.54 μB per formula unit
# final energy: -34.3 eV for the cell shown
# crystal system: tetragonal
# DOS at the Fermi energy: 6.68 states/eV/f.u.
data_ScIrRu2
_cell_length_a 4.503
_cell_length_b 4.503
_cell_length_c 3.018
_cell_angle_alpha 90.00
_cell_angle_beta 90.00
_cell_angle_gamma 90.00
_symmetry_space_group_name_H-M 'P 4/m m m'
_symmetry_Int_Tables_number 123
_symmetry_space_group_name_Hall '-P 4 2'
loop_
_atom_site_label
_atom_site_type_symbol
_atom_site_fract_x
_atom_site_fract_y
_atom_site_fract_z
Sc1 Sc 0.000 0.000 0.000
Ir1 Ir 0.500 0.500 0.000
Ru1 Ru 0.000 0.500 0.500

---

# LaTcB2 (PBE, optimized geometry)
# spin magnetization: 0.00 μB per formula unit
# final energy: -120.6 eV for the cell shown
# crystal system: orthorhombic
# DOS at the Fermi energy: 2.10 states/eV/f.u.
data_LaTcB2
_cell_length_a 3.200
_cell_length_b 13.260
_cell_length_c 5.553
_cell_angle_alpha 90.00
_cell_angle_beta 90.00
_cell_angle_gamma 90.00
_symmetry_space_group_name_H-M 'C m c m'
_symmetry_Int_Tables_number 63
_symmetry_space_group_name_Hall '-C 2c 2'
loop_
_atom_site_label
_atom_site_type_symbol
_atom_site_fract_x
_atom_site_fract_y
_atom_site_fract_z
La1 La 0.000 0.080 0.250
Tc1 Tc 0.000 0.341 0.250
B1 B 0.000 0.253 0.586

---

# BaNa2Cd2 (PBE, optimized geometry)
# spin magnetization: 0.00 μB per formula unit
# final energy: -14.1 eV for the cell shown
# crystal system: monoclinic
# DOS at the Fermi energy: 4.02 states/eV/f.u.
data_BaNa2Cd2
_cell_length_a 12.123
_cell_length_b 5.100
_cell_length_c 6.288
_cell_angle_alpha 90.00
_cell_angle_beta 110.24
_cell_angle_gamma 90.00
_symmetry_space_group_name_H-M 'C 1 2/m 1'
_symmetry_Int_Tables_number 12
_symmetry_space_group_name_Hall '-C 2y'
loop_
_atom_site_label
_atom_site_type_symbol
_atom_site_fract_x
_atom_site_fract_y
_atom_site_fract_z
Ba1 Ba 0.000 0.000 0.000
Na1 Na 0.154 0.500 0.559
Cd1 Cd 0.226 0.500 0.105

---

# BaY (PBE, optimized geometry)
# spin magnetization: 0.00 μB per formula unit
# final energy: -20.4 eV for the cell shown
# crystal system: cubic
# DOS at the Fermi energy: 4.79 states/eV/f.u.
data_BaY
_cell_length_a 7.893
_cell_length_b 7.893
_cell_length_c 7.893
_cell_angle_alpha 90.00
_cell_angle_beta 90.00
_cell_angle_gamma 90.00
_symmetry_space_group_name_H-M 'F -4 3 m'
_symmetry_Int_Tables_number 216
_symmetry_space_group_name_Hall 'F -4 2 3'
loop_
_atom_site_label
_atom_site_type_symbol
_atom_site_fract_x
_atom_site_fract_y
_atom_site_fract_z
Ba1 Ba 0.000 0.000 0.000
Y1 Y 0.250 0.250 0.750

---

# Ce2SbI2 (PBE, optimized geometry)
# spin magnetization: 2.36 μB per formula unit
# formation energy without anion corrections: -6.03 eV/f.u.
# final energy: -75.4 eV for the cell shown
# crystal system: trigonal
# DOS at the Fermi energy: 14.76 states/eV/f.u.
data_Ce2SbI2
_cell_length_a 4.4771
_cell_length_b 4.4771
_cell_length_c 34.2005
_cell_angle_alpha 90.00
_cell_angle_beta 90.00
_cell_angle_gamma 120.00
_symmetry_space_group_name_H-M 'R -3 m'
_symmetry_Int_Tables_number 166
_symmetry_space_group_name_Hall '-R 3 2"'
loop_
_atom_site_label
_atom_site_type_symbol
_atom_site_fract_x
_atom_site_fract_y
_atom_site_fract_z
Ce1 Ce 0.0000 0.0000 0.1143
Sb1 Sb 0.0000 0.0000 0.5000
I1 I 0.0000 0.0000 0.2773

---

# Ti3Mn4W (PBE, optimized geometry)
# spin magnetization: 1.27 μB per formula unit
# final energy: -75.2 eV for the cell shown
# crystal system: tetragonal
# DOS at the Fermi energy: 5.60 states/eV/f.u.
data_Ti3Mn4W
_cell_length_a 2.986
_cell_length_b 2.986
_cell_length_c 11.946
_cell_angle_alpha 90.00
_cell_angle_beta 90.00
_cell_angle_gamma 90.00
_symmetry_space_group_name_H-M 'P 4/m m m'
_symmetry_Int_Tables_number 123
_symmetry_space_group_name_Hall '-P 4 2'
loop_
_atom_site_label
_atom_site_type_symbol
_atom_site_fract_x
_atom_site_fract_y
_atom_site_fract_z
Ti1 Ti 0.000 0.000 0.000
Ti2 Ti 0.000 0.000 0.248
Mn1 Mn 0.500 0.500 0.125
Mn2 Mn 0.500 0.500 0.377
W1 W 0.000 0.000 0.500

---

# Ta2InRh (PBE, optimized geometry)
# spin magnetization: 0.00 μB per formula unit
# final energy: -34.3 eV for the cell shown
# crystal system: orthorhombic
# DOS at the Fermi energy: 3.32 states/eV/f.u.
data_Ta2InRh
_cell_length_a 3.105
_cell_length_b 3.529
_cell_length_c 6.549
_cell_angle_alpha 90.00
_cell_angle_beta 90.00
_cell_angle_gamma 90.00
_symmetry_space_group_name_H-M 'P m m 2'
_symmetry_Int_Tables_number 25
_symmetry_space_group_name_Hall 'P 2 -2'
loop_
_atom_site_label
_atom_site_type_symbol
_atom_site_fract_x
_atom_site_fract_y
_atom_site_fract_z
Ta1 Ta 0.000 0.000 0.000
Ta2 Ta 0.500 0.500 0.252
In1 In 0.000 0.000 0.528
Rh1 Rh 0.500 0.500 0.777

---

# Sc2Cu2Ni15 (PBE, optimized geometry)
# spin magnetization: 5.40 μB per formula unit
# final energy: -331.9 eV for the cell shown
# crystal system: trigonal
# DOS at the Fermi energy: 23.80 states/eV/f.u.
data_Sc2Cu2Ni15
_cell_length_a 8.1862
_cell_length_b 8.1862
_cell_length_c 12.0257
_cell_angle_alpha 90.00
_cell_angle_beta 90.00
_cell_angle_gamma 120.00
_symmetry_space_group_name_H-M 'R -3 m'
_symmetry_Int_Tables_number 166
_symmetry_space_group_name_Hall '-R 3 2"'
loop_
_atom_site_label
_atom_site_type_symbol
_atom_site_fract_x
_atom_site_fract_y
_atom_site_fract_z
Sc1 Sc 0.0000 0.0000 0.1575
Cu1 Cu 0.0000 0.0000 0.4002
Ni1 Ni 0.0000 0.3043 0.5000
Ni2 Ni 0.0000 0.5000 0.0000
Ni3 Ni 0.0039 0.5019 0.6545

---

# CsSnTeI (PBE, optimized geometry)
# spin magnetization: 0.00 μB per formula unit
# formation energy without anion corrections: -3.08 eV/f.u.
# final energy: -25.3 eV for the cell shown
# crystal system: monoclinic
# DOS at the Fermi energy: 0.00 states/eV/f.u.
data_CsSnTeI
_cell_length_a 8.203
_cell_length_b 4.725
_cell_length_c 9.195
_cell_angle_alpha 90.00
_cell_angle_beta 90.03
_cell_angle_gamma 90.00
_symmetry_space_group_name_H-M 'C 1 m 1'
_symmetry_Int_Tables_number 8
_symmetry_space_group_name_Hall 'C -2y'
loop_
_atom_site_label
_atom_site_type_symbol
_atom_site_fract_x
_atom_site_fract_y
_atom_site_fract_z
Cs1 Cs 0.000 0.000 0.000
Sn1 Sn 0.001 0.000 0.525
Te1 Te 0.168 0.500 0.692
I1 I 0.333 0.000 0.282

---

# Zn5GaIr2 (PBE, optimized geometry)
# spin magnetization: 0.00 μB per formula unit
# final energy: -57.5 eV for the cell shown
# crystal system: orthorhombic
# DOS at the Fermi energy: 2.12 states/eV/f.u.
data_Zn5GaIr2
_cell_length_a 4.124
_cell_length_b 7.843
_cell_length_c 7.973
_cell_angle_alpha 90.00
_cell_angle_beta 90.00
_cell_angle_gamma 90.00
_symmetry_space_group_name_H-M 'I m m m'
_symmetry_Int_Tables_number 71
_symmetry_space_group_name_Hall '-I 2 2'
loop_
_atom_site_label
_atom_site_type_symbol
_atom_site_fract_x
_atom_site_fract_y
_atom_site_fract_z
Zn1 Zn 0.000 0.000 0.000
Zn2 Zn 0.000 0.331 0.320
Ga1 Ga 0.000 0.500 0.000
Ir1 Ir 0.000 0.000 0.319

---

# NdCu5Au (PBE, optimized geometry)
# spin magnetization: 0.00 μB per formula unit
# final energy: -121.1 eV for the cell shown
# crystal system: orthorhombic
# DOS at the Fermi energy: 2.90 states/eV/f.u.
data_NdCu5Au
_cell_length_a 8.256
_cell_length_b 5.116
_cell_length_c 10.376
_cell_angle_alpha 90.00
_cell_angle_beta 90.00
_cell_angle_gamma 90.00
_symmetry_space_group_name_H-M 'P n m a'
_symmetry_Int_Tables_number 62
_symmetry_space_group_name_Hall '-P 2ac 2n'
loop_
_atom_site_label
_atom_site_type_symbol
_atom_site_fract_x
_atom_site_fract_y
_atom_site_fract_z
Nd1 Nd 0.240 0.250 0.063
Cu1 Cu 0.058 0.750 0.107
Cu2 Cu 0.066 0.001 0.313
Cu3 Cu 0.090 0.250 0.517
Cu4 Cu 0.185 0.250 0.748
Au1 Au 0.140 0.750 0.861

---

> What is the formula in the eighth record?

Ta2InRh

---

> Look up the final energy of the sixth one.

-75.4 eV for the cell shown